A geometry-optimized Zn2CdAg structure. Source: Alexandria via LeMat-Bulk, functional PBE.

Values from the calculation:
SG = P4/mmm, No. 123
ΔE_f = 41 meV/atom
magnetization = 0.00 μB per formula unit
calculated volume = 17.51 Å³/atom
total DFT energy (no corrections) = -6.152 eV/cell

abc: 3.405 3.405 6.041
angles: 90.00 90.00 90.00
Positions (direct):
Ag 0.500 0.500 0.250
Cd 0.500 0.500 0.750
Zn 0.000 0.000 0.018
Zn 0.000 0.000 0.482